# 1
Mg2ZrSc PBE-GGA optimized geometry; DFT formation energy = 62 meV/atom; crystal system = trigonal; space-group type = R-3m (166)
1.0
-8.322 3.092 6.136
-9.958 1.993 3.650
-9.014 0.003 5.933
Zr Mg Sc
1 2 1
Cartesian
-20.470 3.816 11.789 Zr
-0.006 0.001 0.003 Mg
-13.641 2.543 7.856 Mg
-6.823 1.272 3.930 Sc

---

# 2
Mg2ZrSc4 PBE-GGA optimized geometry; DFT formation energy = 35 meV/atom; crystal system = orthorhombic; space-group type = Cmmm (65)
1.0
-0.489 -2.995 -1.095
3.032 -0.737 0.661
-4.207 -3.289 15.630
Sc Mg Zr
4 2 1
Cartesian
-1.499 -2.846 3.702 Sc
0.907 -1.023 2.393 Sc
-2.572 -5.997 12.804 Sc
-3.198 -3.438 10.834 Sc
-1.315 -4.647 8.547 Mg
-0.349 -2.374 6.650 Mg
-0.245 -1.497 -0.547 Zr

---

# 3
MgZrSc3 PBE-GGA optimized geometry; DFT formation energy = 110 meV/atom; crystal system = orthorhombic; space-group type = Pbcm (57); energy above the most stable polymorph in this dataset = 49 meV/atom
1.0
6.217 0.000 0.000
0.000 5.875 0.000
0.000 0.000 13.003
Sc Zr Mg
12 4 4
Cartesian
3.108 4.406 6.614 Sc
1.554 4.330 1.028 Sc
0.000 4.406 6.614 Sc
0.000 1.469 6.389 Sc
3.108 1.469 6.389 Sc
4.663 1.545 11.976 Sc
4.663 3.230 3.918 Sc
1.554 2.645 9.085 Sc
4.663 0.293 9.085 Sc
1.554 5.582 3.918 Sc
1.554 1.392 11.976 Sc
4.663 4.482 1.028 Sc
0.000 4.406 11.337 Zr
0.000 1.469 1.666 Zr
3.108 4.406 11.337 Zr
3.108 1.469 1.666 Zr
1.554 2.705 4.055 Mg
4.663 0.232 4.055 Mg
4.663 3.170 8.948 Mg
1.554 5.642 8.948 Mg

---

# 4
MgZr2Sc PBE-GGA optimized geometry; DFT formation energy = -15 meV/atom; crystal system = tetragonal; space-group type = P4mm (99)
1.0
3.194 0.000 0.000
0.000 3.194 0.000
0.000 0.000 9.092
Mg Zr Sc
1 2 1
Cartesian
0.000 0.000 4.540 Mg
0.000 0.000 9.083 Zr
1.597 1.597 2.242 Zr
1.597 1.597 6.867 Sc

---

# 5
Mg2ZrSc PBE-GGA optimized geometry; DFT formation energy = 74 meV/atom; crystal system = trigonal; space-group type = R3m (160)
1.0
-1.361 0.480 2.802
-3.117 0.429 0.185
-2.885 -10.310 2.139
Mg Zr Sc
2 1 1
Cartesian
-1.841 -2.352 1.282 Mg
-2.536 -7.654 1.853 Mg
-3.684 -4.715 2.564 Zr
-5.869 -9.690 4.128 Sc

---

# 6
Mg4ZrSc PBE-GGA optimized geometry; DFT formation energy = 91 meV/atom; crystal system = cubic; space-group type = F-43m (216); energy above the most stable polymorph in this dataset = 56 meV/atom
1.0
0.000 4.088 4.088
4.088 0.000 4.088
4.088 4.088 0.000
Mg Sc Zr
4 1 1
Cartesian
3.063 3.063 3.063 Mg
5.113 3.063 5.113 Mg
3.063 5.113 5.113 Mg
5.113 5.113 3.063 Mg
6.133 6.133 6.133 Sc
0.000 0.000 0.000 Zr

---

# 7
MgZr2Sc6 PBE-GGA optimized geometry; DFT formation energy = 78 meV/atom; crystal system = monoclinic; space-group type = C2/m (12); energy above the most stable polymorph in this dataset = 35 meV/atom
1.0
-0.105 -0.626 3.076
-5.522 -5.792 0.237
5.147 -7.510 0.251
Zr Sc Mg
2 6 1
Cartesian
1.586 -2.880 1.072 Zr
-2.065 -11.047 2.493 Zr
1.897 -8.207 3.206 Sc
-1.405 -3.347 2.478 Sc
-2.377 -5.721 0.359 Sc
0.433 -5.634 2.076 Sc
-0.913 -8.294 1.489 Sc
0.926 -10.580 1.086 Sc
0.000 0.000 0.000 Mg

---

# 8
MgZr2Sc PBE-GGA optimized geometry; DFT formation energy = 40 meV/atom; crystal system = tetragonal; space-group type = I4/mmm (139)
1.0
5.599 -0.001 0.000
2.106 5.188 0.000
-3.852 -2.594 3.127
Zr Mg Sc
2 1 1
Cartesian
3.852 2.594 0.000 Zr
0.000 0.000 0.000 Zr
1.053 2.594 1.564 Mg
2.800 0.000 1.564 Sc